# LiZn2P

LiZn2P after structural relaxation (GGA-PBEsol, Alexandria).

## Properties
DFT formation energy = -18 meV per atom
Total moment = 0.00 μB per formula unit
Crystal system = tetragonal

Cell: 2.700 2.700 7.896 Å, 90.00 90.00 90.00°
Space group P4mm (No. 99)
Unique sites:
Li  0.000  0.000  0.000 [1 per cell]
Zn  0.000  0.000  0.492 [1 per cell]
Zn  0.500  0.500  0.740 [1 per cell]
P  0.500  0.500  0.233 [1 per cell]